Material: NaSeBr2Cl
Method: DFT, GGA-PBE
State: relaxed

Volume = 29.67 Å³ per atom
Formation energy (no corrections) = -21 meV/atom
Energy above the lowest structure with this stoichiometry = 2.506 eV/f.u.
SG = P4/mmm

```
5
Lattice="-4.139 -1.304 3.178 -2.162 -2.877 -3.997 2.545 -4.151 1.611" Properties=species:S:1:pos:R:3 pbc="T T T"
Na -1.878 -4.166 0.396
Se 1.272 -2.075 0.805
Br -1.081 -1.439 -1.999
Br -2.070 -0.652 1.589
Cl 0.000 0.000 0.000
```